First-principles (PBE) data for a relaxed BaSr2SiI crystal, as listed in Alexandria.

Cell: 6.0426 6.0426 6.7275 Å, 90.00 90.00 90.00°
Space group P4/mmm (No. 123)
One atom of each set of equivalent atoms:
Ba (0.0000, 0.0000, 0.0000) [1 per cell]
Sr (0.0000, 0.5000, 0.5000) [2 per cell]
Si (0.5000, 0.5000, 0.5000) [1 per cell]
I (0.5000, 0.5000, 0.0000) [1 per cell]

Energy relative to the elements, uncorrected = -0.47 eV per formula unit
Volume = 245.64 Å³/cell

***

First-principles (PBE) data for a relaxed BaSrSiI2 crystal, as listed in Alexandria.

Cell: 6.0053 6.0053 6.0612 Å, 90.00 90.00 90.00°
Space group P4/mmm (No. 123)
One atom of each set of equivalent atoms:
Ba (0.0000, 0.0000, 0.0000) [1 per cell]
Sr (0.5000, 0.5000, 0.0000) [1 per cell]
Si (0.5000, 0.5000, 0.5000) [1 per cell]
I (0.0000, 0.5000, 0.5000) [2 per cell]

Energy relative to the elements, uncorrected = -1.04 eV per formula unit
Volume = 218.59 Å³/cell

***

First-principles (PBE) data for a relaxed Ba4SiTeI2 crystal, as listed in Alexandria.

Cell: 8.7232 4.9731 8.8798 Å, 90.00 108.89 90.00°
Space group P2/m (No. 10)
One atom of each set of equivalent atoms:
Ba (0.2210, 0.0000, 0.2105) [2 per cell]
Ba (0.2396, 0.5000, 0.7888) [2 per cell]
Si (0.0000, 0.5000, 0.0000) [1 per cell]
Te (0.5000, 0.0000, 0.0000) [1 per cell]
I (0.0000, 0.0000, 0.5000) [1 per cell]
I (0.5000, 0.5000, 0.5000) [1 per cell]

Energy relative to the elements, uncorrected = -10.24 eV per formula unit
Volume = 364.47 Å³/cell

***

First-principles (PBE) data for a relaxed BaSiTeI2 crystal, as listed in Alexandria.

Cell: 6.5381 6.5381 6.7990 Å, 90.00 90.00 90.00°
Space group P4/mmm (No. 123)
One atom of each set of equivalent atoms:
Ba (0.0000, 0.0000, 0.0000) [1 per cell]
Si (0.5000, 0.5000, 0.5000) [1 per cell]
Te (0.0000, 0.0000, 0.5000) [1 per cell]
I (0.0000, 0.5000, 0.0000) [2 per cell]

Energy relative to the elements, uncorrected = 1.04 eV per formula unit
Volume = 290.63 Å³/cell
Energy above the lowest structure with this stoichiometry = 0.894 eV/atom

***

First-principles (PBE) data for a relaxed Ba6SiTe2I3 crystal, as listed in Alexandria.

Cell: 8.6686 14.9995 8.7629 Å, 90.00 109.22 90.00°
Space group C2/m (No. 12)
One atom of each set of equivalent atoms:
Ba (0.2288, 0.1563, 0.2176) [8 per cell]
Ba (0.2387, 0.0000, 0.7802) [4 per cell]
Si (0.0000, 0.0000, 0.0000) [2 per cell]
Te (0.0000, 0.3339, 0.0000) [4 per cell]
I (0.0000, 0.1719, 0.5000) [4 per cell]
I (0.0000, 0.5000, 0.5000) [2 per cell]

Energy relative to the elements, uncorrected = -16.85 eV per formula unit
Volume = 1075.91 Å³/cell

***

First-principles (PBE) data for a relaxed BaSiTe2I crystal, as listed in Alexandria.

Cell: 5.4618 5.4618 5.7542 Å, 90.00 90.00 90.00°
Space group P4/mmm (No. 123)
One atom of each set of equivalent atoms:
Ba (0.0000, 0.0000, 0.0000) [1 per cell]
Si (0.5000, 0.5000, 0.5000) [1 per cell]
Te (0.0000, 0.5000, 0.5000) [2 per cell]
I (0.5000, 0.5000, 0.0000) [1 per cell]

Energy relative to the elements, uncorrected = -3.19 eV per formula unit
Volume = 171.66 Å³/cell
Energy above the lowest structure with this stoichiometry = 0.000 eV/atom

***

First-principles (PBE) data for a relaxed BaSiTe2I crystal, as listed in Alexandria.

Cell: 6.5386 6.5386 6.4266 Å, 90.00 90.00 90.00°
Space group P4/mmm (No. 123)
One atom of each set of equivalent atoms:
Ba (0.0000, 0.0000, 0.0000) [1 per cell]
Si (0.5000, 0.5000, 0.5000) [1 per cell]
Te (0.0000, 0.5000, 0.0000) [2 per cell]
I (0.0000, 0.0000, 0.5000) [1 per cell]

Energy relative to the elements, uncorrected = 2.72 eV per formula unit
Volume = 274.75 Å³/cell
Energy above the lowest structure with this stoichiometry = 1.181 eV/atom

***

First-principles (PBE) data for a relaxed Ba8SiTe3I4 crystal, as listed in Alexandria.

Cell: 10.0061 10.0061 24.7046 Å, 90.00 90.00 120.00°
Space group R-3m (No. 166, hexagonal axes)
One atom of each set of equivalent atoms:
Ba (0.0000, 0.0000, 0.2428) [6 per cell]
Ba (0.0194, 0.5097, 0.2396) [18 per cell]
Si (0.0000, 0.0000, 0.5000) [3 per cell]
Te (0.0000, 0.5000, 0.5000) [9 per cell]
I (0.0000, 0.0000, 0.0000) [3 per cell]
I (0.0000, 0.5000, 0.0000) [9 per cell]

Energy relative to the elements, uncorrected = -23.13 eV per formula unit
Volume = 2142.20 Å³/cell

***

First-principles (PBE) data for a relaxed BaSiTeI2 crystal, as listed in Alexandria.

Cell: 5.6394 5.6394 5.7260 Å, 90.00 90.00 90.00°
Space group P4/mmm (No. 123)
One atom of each set of equivalent atoms:
Ba (0.0000, 0.0000, 0.0000) [1 per cell]
Si (0.5000, 0.5000, 0.5000) [1 per cell]
Te (0.5000, 0.5000, 0.0000) [1 per cell]
I (0.0000, 0.5000, 0.5000) [2 per cell]

Energy relative to the elements, uncorrected = -3.43 eV per formula unit
Volume = 182.10 Å³/cell
Energy above the lowest structure with this stoichiometry = 0.000 eV/atom

***

First-principles (PBE) data for a relaxed BaSmI5 crystal, as listed in Alexandria.

Cell: 9.5238 4.7507 15.1310 Å, 90.00 92.85 90.00°
Space group P2_1/m (No. 11)
One atom of each set of equivalent atoms:
Ba (0.0853, 0.2500, 0.1485) [2 per cell]
Sm (0.4190, 0.7500, 0.3530) [2 per cell]
I (0.0895, 0.7500, 0.3306) [2 per cell]
I (0.1564, 0.2500, 0.9241) [2 per cell]
I (0.3290, 0.2500, 0.4862) [2 per cell]
I (0.3667, 0.7500, 0.1465) [2 per cell]
I (0.3858, 0.7500, 0.7000) [2 per cell]

Energy relative to the elements, uncorrected = -10.74 eV per formula unit
Volume = 683.74 Å³/cell

***

First-principles (PBE) data for a relaxed BaSmI2 crystal, as listed in Alexandria.

Cell: 4.1505 4.1505 34.3604 Å, 90.00 90.00 120.00°
Space group R-3m (No. 166, hexagonal axes)
One atom of each set of equivalent atoms:
Ba (0.0000, 0.0000, 0.0000) [3 per cell]
Sm (0.0000, 0.0000, 0.5000) [3 per cell]
I (0.0000, 0.0000, 0.1045) [6 per cell]

Energy relative to the elements, uncorrected = -3.59 eV per formula unit
Volume = 512.63 Å³/cell

***

First-principles (PBE) data for a relaxed BaSmTlI6 crystal, as listed in Alexandria.

Cell: 8.5133 8.5133 14.7814 Å, 90.00 90.00 120.00°
Space group P-31c (No. 163)
One atom of each set of equivalent atoms:
Ba (0.3333, 0.6667, 0.2500) [2 per cell]
Sm (0.3333, 0.6667, 0.7500) [2 per cell]
Tl (0.0000, 0.0000, 0.0000) [2 per cell]
I (0.0332, 0.3732, 0.6276) [12 per cell]

Energy relative to the elements, uncorrected = -12.21 eV per formula unit
Volume = 927.78 Å³/cell